[1]
First-principles (PBE) data for a relaxed AcCd8Ag4 crystal, as listed in Alexandria.

Cell lengths 7.690, 7.690, 7.690 Å; angles 97.73, 97.73, 136.96 degrees
Element x y z (fractional)
1 Ac 0.000 0.000 0.000
2 Cd 0.000 0.350 0.350
3 Cd 0.000 0.650 0.650
4 Cd 0.282 0.500 0.782
5 Cd 0.350 0.000 0.350
6 Cd 0.500 0.282 0.782
7 Cd 0.500 0.718 0.218
8 Cd 0.650 0.000 0.650
9 Cd 0.718 0.500 0.218
10 Ag 0.000 0.000 0.500
11 Ag 0.000 0.500 0.000
12 Ag 0.500 0.000 0.000
13 Ag 0.500 0.500 0.500

[2]
First-principles (PBE) data for a relaxed AcCd3Ag crystal, as listed in Alexandria.

Cell lengths 7.155, 7.155, 5.976 Å; angles 90.00, 90.00, 120.00 degrees
Element x y z (fractional)
1 Ac 0.333 0.667 0.250
2 Ac 0.667 0.333 0.750
3 Cd 0.192 0.385 0.750
4 Cd 0.192 0.808 0.750
5 Cd 0.385 0.192 0.250
6 Cd 0.615 0.808 0.750
7 Cd 0.808 0.192 0.250
8 Cd 0.808 0.615 0.250
9 Ag 0.000 0.000 0.000
10 Ag 0.000 0.000 0.500

Energy relative to the lowest polymorph listed for this composition (meV/atom): 57

[3]
First-principles (PBE) data for a relaxed Ac3Cd4Ag2 crystal, as listed in Alexandria.

Cell lengths 6.413, 6.413, 9.625 Å; angles 113.43, 113.43, 46.63 degrees
Element x y z (fractional)
1 Ac 0.000 0.000 0.000
2 Ac 0.327 0.327 0.342
3 Ac 0.673 0.673 0.658
4 Cd 0.040 0.040 0.373
5 Cd 0.275 0.275 0.938
6 Cd 0.725 0.725 0.062
7 Cd 0.960 0.960 0.627
8 Ag 0.399 0.399 0.731
9 Ag 0.601 0.601 0.269

[4]
First-principles (PBE) data for a relaxed Ac3Cd2Ag2 crystal, as listed in Alexandria.

Cell lengths 11.262, 4.901, 7.991 Å; angles 90.00, 95.29, 90.00 degrees
Element x y z (fractional)
1 Ac 0.000 0.000 0.000
2 Ac 0.131 0.500 0.357
3 Ac 0.369 0.000 0.643
4 Ac 0.500 0.500 0.000
5 Ac 0.631 0.000 0.357
6 Ac 0.869 0.500 0.643
7 Cd 0.187 0.500 0.837
8 Cd 0.313 0.000 0.163
9 Cd 0.687 0.000 0.837
10 Cd 0.813 0.500 0.163
11 Ag 0.087 0.000 0.636
12 Ag 0.413 0.500 0.364
13 Ag 0.587 0.500 0.636
14 Ag 0.913 0.000 0.364

[5]
First-principles (PBE) data for a relaxed Ac2Cd15Ag2 crystal, as listed in Alexandria.

Cell lengths 7.726, 7.726, 7.726 Å; angles 82.57, 82.57, 82.57 degrees
Element x y z (fractional)
1 Ac 0.164 0.164 0.164
2 Ac 0.836 0.836 0.836
3 Cd 0.000 0.500 0.500
4 Cd 0.145 0.145 0.657
5 Cd 0.145 0.657 0.145
6 Cd 0.209 0.500 0.791
7 Cd 0.209 0.791 0.500
8 Cd 0.343 0.855 0.855
9 Cd 0.500 0.000 0.500
10 Cd 0.500 0.209 0.791
11 Cd 0.500 0.500 0.000
12 Cd 0.500 0.791 0.209
13 Cd 0.657 0.145 0.145
14 Cd 0.791 0.209 0.500
15 Cd 0.791 0.500 0.209
16 Cd 0.855 0.343 0.855
17 Cd 0.855 0.855 0.343
18 Ag 0.397 0.397 0.397
19 Ag 0.603 0.603 0.603

[6]
First-principles (PBE) data for a relaxed AcCd5Ag3 crystal, as listed in Alexandria.

Cell lengths 7.639, 7.639, 13.538 Å; angles 90.00, 90.00, 146.19 degrees
Element x y z (fractional)
1 Ac 0.169 0.831 0.750
2 Ac 0.831 0.169 0.250
3 Cd 0.000 0.000 0.000
4 Cd 0.000 0.000 0.500
5 Cd 0.197 0.803 0.048
6 Cd 0.197 0.803 0.452
7 Cd 0.433 0.567 0.644
8 Cd 0.433 0.567 0.856
9 Cd 0.567 0.433 0.144
10 Cd 0.567 0.433 0.356
11 Cd 0.803 0.197 0.548
12 Cd 0.803 0.197 0.952
13 Ag 0.152 0.848 0.250
14 Ag 0.386 0.614 0.073
15 Ag 0.386 0.614 0.427
16 Ag 0.614 0.386 0.573
17 Ag 0.614 0.386 0.927
18 Ag 0.848 0.152 0.750

[7]
First-principles (PBE) data for a relaxed Ac3Cd3Ag2 crystal, as listed in Alexandria.

Cell lengths 6.250, 6.250, 16.654 Å; angles 90.00, 90.00, 132.62 degrees
Element x y z (fractional)
1 Ac 0.089 0.911 0.604
2 Ac 0.089 0.911 0.896
3 Ac 0.360 0.640 0.750
4 Ac 0.640 0.360 0.250
5 Ac 0.911 0.089 0.104
6 Ac 0.911 0.089 0.396
7 Cd 0.347 0.653 0.250
8 Cd 0.382 0.618 0.541
9 Cd 0.382 0.618 0.959
10 Cd 0.618 0.382 0.041
11 Cd 0.618 0.382 0.459
12 Cd 0.653 0.347 0.750
13 Ag 0.205 0.795 0.103
14 Ag 0.205 0.795 0.397
15 Ag 0.795 0.205 0.603
16 Ag 0.795 0.205 0.897

[8]
First-principles (PBE) data for a relaxed Ac2Cd6Ag3 crystal, as listed in Alexandria.

Cell lengths 8.519, 8.519, 4.548 Å; angles 90.00, 90.00, 120.00 degrees
Element x y z (fractional)
1 Ac 0.333 0.667 0.000
2 Ac 0.667 0.333 0.000
3 Cd 0.000 0.277 0.500
4 Cd 0.000 0.801 0.000
5 Cd 0.199 0.199 0.000
6 Cd 0.277 0.000 0.500
7 Cd 0.723 0.723 0.500
8 Cd 0.801 0.000 0.000
9 Ag 0.000 0.604 0.500
10 Ag 0.396 0.396 0.500
11 Ag 0.604 0.000 0.500

[9]
First-principles (PBE) data for a relaxed Ac8Cd2Ag crystal, as listed in Alexandria.

Cell lengths 10.441, 10.441, 7.616 Å; angles 102.77, 102.77, 31.70 degrees
Element x y z (fractional)
1 Ac 0.023 0.023 0.270
2 Ac 0.202 0.202 0.810
3 Ac 0.341 0.341 0.533
4 Ac 0.408 0.408 0.046
5 Ac 0.592 0.592 0.954
6 Ac 0.659 0.659 0.467
7 Ac 0.798 0.798 0.190
8 Ac 0.977 0.977 0.730
9 Cd 0.188 0.188 0.235
10 Cd 0.812 0.812 0.765
11 Ag 0.500 0.500 0.500

[10]
First-principles (PBE) data for a relaxed Ac2Cd2Ag15 crystal, as listed in Alexandria.

Cell lengths 7.440, 7.440, 7.440 Å; angles 82.58, 82.58, 82.58 degrees
Element x y z (fractional)
1 Ac 0.152 0.152 0.152
2 Ac 0.848 0.848 0.848
3 Cd 0.398 0.398 0.398
4 Cd 0.602 0.602 0.602
5 Ag 0.000 0.500 0.500
6 Ag 0.150 0.150 0.656
7 Ag 0.150 0.656 0.150
8 Ag 0.200 0.500 0.800
9 Ag 0.200 0.800 0.500
10 Ag 0.344 0.850 0.850
11 Ag 0.500 0.000 0.500
12 Ag 0.500 0.200 0.800
13 Ag 0.500 0.500 0.000
14 Ag 0.500 0.800 0.200
15 Ag 0.656 0.150 0.150
16 Ag 0.800 0.200 0.500
17 Ag 0.800 0.500 0.200
18 Ag 0.850 0.344 0.850
19 Ag 0.850 0.850 0.344

[11]
First-principles (PBE) data for a relaxed Ac2Cd5Ag3 crystal, as listed in Alexandria.

Cell lengths 4.527, 4.527, 12.729 Å; angles 90.00, 90.00, 90.00 degrees
Element x y z (fractional)
1 Ac 0.000 0.500 0.234
2 Ac 0.500 0.000 0.766
3 Cd 0.000 0.000 0.500
4 Cd 0.000 0.500 0.645
5 Cd 0.500 0.000 0.355
6 Cd 0.500 0.500 0.000
7 Cd 0.500 0.500 0.500
8 Ag 0.000 0.000 0.000
9 Ag 0.000 0.500 0.863
10 Ag 0.500 0.000 0.137

Energy relative to the lowest polymorph listed for this composition (meV/atom): 6

[12]
First-principles (PBE) data for a relaxed Ac2Cd5Ag crystal, as listed in Alexandria.

Cell lengths 9.401, 9.401, 10.139 Å; angles 90.00, 90.00, 150.01 degrees
Element x y z (fractional)
1 Ac 0.000 0.000 0.000
2 Ac 0.000 0.000 0.500
3 Ac 0.195 0.805 0.750
4 Ac 0.805 0.195 0.250
5 Cd 0.189 0.811 0.107
6 Cd 0.189 0.811 0.393
7 Cd 0.353 0.647 0.025
8 Cd 0.353 0.647 0.475
9 Cd 0.401 0.599 0.750
10 Cd 0.599 0.401 0.250
11 Cd 0.647 0.353 0.525
12 Cd 0.647 0.353 0.975
13 Cd 0.811 0.189 0.607
14 Cd 0.811 0.189 0.893
15 Ag 0.446 0.554 0.250
16 Ag 0.554 0.446 0.750

The records above give, respectively, E_form values of -155; -194; -321; -222; -178; -116; -295; -205; -102; -122; -238; -274 meV/atom.